(1)
Entry from Alexandria: a relaxed Hf6CoSb crystal (PBE).

Properties
* D(E_F): 0.4939 states/eV per atom
* theoretical density: 11.67 g/cm3
* energy: -70.92 eV for the cell shown

```
Hf6CoSb
1.0
4.525 2.612 2.511
-4.525 2.612 2.511
0.000 -5.225 2.511
Hf Co Sb
6 1 1
Direct
0.216 0.216 0.622
0.216 0.622 0.216
0.378 0.784 0.784
0.622 0.216 0.216
0.784 0.378 0.784
0.784 0.784 0.378
0.500 0.500 0.500
0.000 0.000 0.000
```

(2)
Entry from Alexandria: a relaxed Ac8PmNd4 crystal (PBE).

Properties
* ΔE_f: 0.0340 eV per atom
* D(E_F): 1.8024 states/eV per atom
* theoretical density: 7.89 g/cm3
* energy: -56.25 eV for the cell shown

```
Ac8PmNd4
1.0
6.100 -2.759 0.000
6.100 2.759 0.000
-1.162 0.000 15.869
Ac Pm Nd
8 1 4
Direct
0.042 0.042 0.386
0.191 0.191 0.925
0.266 0.266 0.690
0.424 0.424 0.228
0.576 0.576 0.772
0.734 0.734 0.310
0.809 0.809 0.075
0.958 0.958 0.614
0.500 0.500 0.000
0.115 0.115 0.152
0.349 0.349 0.463
0.651 0.651 0.537
0.885 0.885 0.848
```